Here is an optimized crystal structure of KPuNpS4 from Alexandria via LeMat-Bulk. Energies are from PBE.

The value obtained for the total energy is -7.852 eV/atom. For the density of states at the Fermi level, the calculation gives 80.285 states/eV/cell. The crystal system is orthorhombic. The formation energy from raw total energies comes out at -1440 meV per atom. Its magnetization is 32.0 μB/cell.

a b c (Å): 8.324 8.412 11.843
angles (deg): 90.00 90.00 90.00
Space group Imma (No. 74)
Symmetry-distinct sites (fractional):
K: 0.000 0.250 0.125
Pu: 0.000 0.000 0.500
Np: 0.250 0.250 0.750
S: 0.000 0.042 0.732
S: 0.212 0.250 0.523